A plane-wave DFT calculation with PBE was carried out for CeGaTe after structural relaxation.

POSCAR file:
```
CeGaTe
1.0
-0.5068 -1.7599 -3.3325
2.0304 -4.0731 1.8423
-4.8449 0.7082 0.3627
Te Ga Ce
1 1 1
Direct
0.8342 0.6667 0.3333 Te
0.8321 0.0000 0.0000 Ga
0.3337 0.3333 0.6667 Ce
```

Summary:
ρ: 7.06 Mg/m³
VASP energy: -4.611 eV per atom
distance to the lowest polymorph of the same formula: 0.246 eV per atom